No. 1
## Na3FePCO7 (meta-GGA SCAN)

Data for Na3FePCO7 at its PBEsol-relaxed geometry.

Energy relative to the elements, uncorrected in eV per atom: -2.07
Mass density in Mg/m³: 3.03
Space-group type: P2_1, No. 4

Unit cell a=5.234 b=6.592 c=8.876 alpha=90.00 beta=90.42 gamma=90.00
Positions (direct):
Na: 0.000 0.486 0.499
Na: 0.000 0.986 0.501
Na: 0.560 0.234 0.336
Na: 0.440 0.734 0.664
Na: 0.501 0.488 0.001
Na: 0.499 0.988 0.999
Fe: 0.971 0.738 0.202
Fe: 0.029 0.238 0.798
P: 0.015 0.236 0.155
P: 0.985 0.736 0.845
C: 0.502 0.737 0.344
C: 0.498 0.237 0.656
O: 0.675 0.736 0.449
O: 0.325 0.236 0.551
O: 0.260 0.735 0.380
O: 0.740 0.235 0.620
O: 0.922 0.049 0.247
O: 0.078 0.549 0.753
O: 0.919 0.424 0.245
O: 0.081 0.924 0.755
O: 0.569 0.739 0.204
O: 0.431 0.239 0.796
O: 0.305 0.237 0.136
O: 0.695 0.737 0.864
O: 0.876 0.233 0.998
O: 0.124 0.733 0.002



No. 2
## Na2FePCO7 (meta-GGA SCAN)

Data for Na2FePCO7 at its PBEsol-relaxed geometry.

Energy relative to the elements, uncorrected in eV per atom: -2.05
Mass density in Mg/m³: 2.83
Space-group type: P2_1, No. 4
Energy above the most stable polymorph in this dataset in meV/atom: 7

Unit cell a=5.256 b=6.483 c=8.847 alpha=90.00 beta=91.87 gamma=90.00
Positions (direct):
Na: 0.724 0.764 0.581
Na: 0.276 0.264 0.419
Na: 0.246 0.523 0.771
Na: 0.754 0.023 0.229
Fe: 0.718 0.237 0.846
Fe: 0.282 0.737 0.154
P: 0.775 0.747 0.924
P: 0.225 0.247 0.076
C: 0.793 0.250 0.569
C: 0.207 0.750 0.431
O: 0.169 0.730 0.571
O: 0.831 0.230 0.429
O: 0.564 0.252 0.623
O: 0.436 0.752 0.377
O: 0.978 0.265 0.670
O: 0.022 0.765 0.330
O: 0.728 0.937 0.822
O: 0.272 0.437 0.178
O: 0.707 0.559 0.823
O: 0.293 0.059 0.177
O: 0.386 0.259 0.934
O: 0.614 0.759 0.066
O: 0.061 0.735 0.975
O: 0.939 0.235 0.025



No. 3
## Na3FeSiCO7 (meta-GGA SCAN)

Data for Na3FeSiCO7 at its PBEsol-relaxed geometry.

Energy relative to the elements, uncorrected in eV per atom: -2.15
Mass density in Mg/m³: 3.05
Space-group type: P2_1/m, No. 11

Unit cell a=5.160 b=6.524 c=8.965 alpha=90.00 beta=90.26 gamma=90.00
Positions (direct):
Na: 0.762 0.750 0.913
Na: 0.255 0.996 0.738
Na: 0.255 0.504 0.738
Na: 0.745 0.496 0.262
Na: 0.745 0.004 0.262
Na: 0.238 0.250 0.087
Fe: 0.788 0.250 0.641
Fe: 0.212 0.750 0.359
Si: 0.706 0.750 0.582
Si: 0.294 0.250 0.418
C: 0.735 0.250 0.938
C: 0.265 0.750 0.062
O: 0.293 0.750 0.919
O: 0.964 0.250 0.879
O: 0.535 0.250 0.850
O: 0.773 0.951 0.685
O: 0.773 0.549 0.685
O: 0.391 0.750 0.545
O: 0.141 0.250 0.577
O: 0.859 0.750 0.423
O: 0.609 0.250 0.455
O: 0.227 0.451 0.315
O: 0.227 0.049 0.315
O: 0.465 0.750 0.150
O: 0.036 0.750 0.121
O: 0.707 0.250 0.081



No. 4
## Na2FeOsC (meta-GGA SCAN)

Data for Na2FeOsC at its PBEsol-relaxed geometry.

Mass density in Mg/m³: 6.32
Space-group type: P4/mmm, No. 123
Formation energy in eV per atom: 0.96

Unit cell a=3.936 b=4.506 c=4.506 alpha=90.00 beta=90.00 gamma=90.00
Positions (direct):
Na: 0.000 0.000 0.500
Na: 0.000 0.500 0.000
C: 0.000 0.000 0.000
Os: 0.500 0.000 0.000
Fe: 0.500 0.500 0.500



No. 5
## Na2YFeC (meta-GGA SCAN)

Data for Na2YFeC at its PBEsol-relaxed geometry.

Mass density in Mg/m³: 3.14
Space-group type: P4/mmm, No. 123
Formation energy in eV per atom: 0.80

Unit cell a=4.684 b=4.781 c=4.781 alpha=90.00 beta=90.00 gamma=90.00
Positions (direct):
Y: 0.500 0.000 0.000
Na: 0.000 0.000 0.500
Na: 0.000 0.500 0.000
C: 0.000 0.000 0.000
Fe: 0.500 0.500 0.500



No. 6
## Nd2Fe2Si2C (meta-GGA SCAN)

Data for Nd2Fe2Si2C at its PBEsol-relaxed geometry.

Energy relative to the elements, uncorrected in eV per atom: -0.56
Mass density in Mg/m³: 6.88
Space-group type: C2/m, No. 12

Unit cell a=3.963 b=5.692 c=5.788 alpha=73.86 beta=69.98 gamma=69.62
Positions (direct):
C: 0.500 0.500 0.500
Nd: 0.060 0.679 0.201
Nd: 0.940 0.321 0.799
Si: 0.327 0.111 0.236
Si: 0.673 0.889 0.764
Fe: 0.697 0.195 0.411
Fe: 0.303 0.805 0.589



No. 7
## FeNiC3 (meta-GGA SCAN)

Data for FeNiC3 at its PBEsol-relaxed geometry.

Mass density in Mg/m³: 5.06
Space-group type: Pm-3m, No. 221
Energy above the most stable polymorph in this dataset in meV/atom: 246
Formation energy in eV per atom: 2.36

Unit cell a=3.671 b=3.671 c=3.671 alpha=90.00 beta=90.00 gamma=90.00
Positions (direct):
Ni: 0.000 0.000 0.000
C: 0.000 0.500 0.000
C: 0.000 0.000 0.500
C: 0.500 0.000 0.000
Fe: 0.500 0.500 0.500



No. 8
## FeNiC3 (meta-GGA SCAN)

Data for FeNiC3 at its PBEsol-relaxed geometry.

Mass density in Mg/m³: 5.23
Space-group type: Pm-3m, No. 221
Energy above the most stable polymorph in this dataset in meV/atom: 0
Formation energy in eV per atom: 2.11

Unit cell a=3.630 b=3.630 c=3.630 alpha=90.00 beta=90.00 gamma=90.00
Positions (direct):
Ni: 0.500 0.500 0.500
C: 0.000 0.500 0.000
C: 0.000 0.000 0.500
C: 0.500 0.000 0.000
Fe: 0.000 0.000 0.000



No. 9
## FeCO3 (meta-GGA SCAN)

Data for FeCO3 at its PBEsol-relaxed geometry.

Energy relative to the elements, uncorrected in eV per atom: -1.41
Mass density in Mg/m³: 4.11
Space-group type: R-3c, No. 167

Unit cell a=4.676 b=4.676 c=5.631 alpha=65.47 beta=65.47 gamma=60.00
Positions (direct):
C: 0.250 0.250 0.250
C: 0.750 0.750 0.750
Fe: 0.000 0.000 0.000
Fe: 0.500 0.500 0.500
O: 0.250 0.973 0.250
O: 0.973 0.527 0.250
O: 0.527 0.250 0.250
O: 0.750 0.027 0.750
O: 0.027 0.473 0.750
O: 0.473 0.750 0.750



No. 10
## FeP2CO (meta-GGA SCAN)

Data for FeP2CO at its PBEsol-relaxed geometry.

Energy relative to the elements, uncorrected in eV per atom: 1.09
Mass density in Mg/m³: 4.64
Space-group type: P4/mmm, No. 123

Unit cell a=2.976 b=4.185 c=4.185 alpha=90.00 beta=90.00 gamma=90.00
Positions (direct):
P: 0.000 0.000 0.500
P: 0.000 0.500 0.000
C: 0.000 0.000 0.000
Fe: 0.500 0.500 0.500
O: 0.500 0.000 0.000



No. 11
## SrFe2OsC (meta-GGA SCAN)

Data for SrFe2OsC at its PBEsol-relaxed geometry.

Mass density in Mg/m³: 9.66
Space-group type: P4/mmm, No. 123
Formation energy in eV per atom: 0.59

Unit cell a=4.064 b=4.121 c=4.121 alpha=90.00 beta=90.00 gamma=90.00
Positions (direct):
Sr: 0.500 0.500 0.500
C: 0.000 0.000 0.000
Os: 0.500 0.000 0.000
Fe: 0.000 0.000 0.500
Fe: 0.000 0.500 0.000



No. 12
## FePRuC2 (meta-GGA SCAN)

Data for FePRuC2 at its PBEsol-relaxed geometry.

Mass density in Mg/m³: 6.38
Space-group type: P4/mmm, No. 123
Formation energy in eV per atom: 1.88

Unit cell a=3.570 b=3.570 c=4.328 alpha=90.00 beta=90.00 gamma=90.00
Positions (direct):
Ru: 0.500 0.500 0.500
C: 0.000 0.500 0.000
C: 0.500 0.000 0.000
Fe: 0.000 0.000 0.500
P: 0.000 0.000 0.000